# Tb2SmMn

Crystalline Tb2SmMn at its relaxed geometry (GGA-PBE, Alexandria via LeMat-Bulk).

Geometry as POSCAR:
```
Tb2SmMn
1.0
0.0000 3.7853 3.7853
3.7853 0.0000 3.7853
3.7853 3.7853 0.0000
Tb Sm Mn
2 1 1
Cartesian
1.8926 1.8926 1.8926
5.6779 5.6779 5.6779
0.0000 0.0000 0.0000
3.7853 3.7853 3.7853
```

Calculated values
Space-group type: Fm-3m (225)
Formation energy from the elements: 0.328 eV/atom
Offset from the most stable computed form: 196 meV per atom



# GaCoN3

Crystalline GaCoN3 at its relaxed geometry (GGA-PBE, Alexandria via LeMat-Bulk).

Geometry as POSCAR:
```
GaCoN3
1.0
3.8155 0.0000 0.0000
0.0000 3.8155 0.0000
0.0000 0.0000 3.8155
Ga Co N
1 1 3
Cartesian
0.0000 0.0000 0.0000
1.9077 1.9077 1.9077
0.0000 0.0000 1.9077
0.0000 1.9077 0.0000
1.9077 0.0000 0.0000
```

Calculated values
Space-group type: Pm-3m (221)
Formation energy (no corrections): 190 kJ per mole of atoms



# CaMg2GaPd

Crystalline CaMg2GaPd at its relaxed geometry (GGA-PBE, Alexandria via LeMat-Bulk).

Geometry as POSCAR:
```
CaMg2GaPd
1.0
5.0086 0.0000 0.0000
0.0000 5.0086 0.0000
0.0000 0.0000 4.8775
Ca Mg Ga Pd
1 2 1 1
Cartesian
0.0000 0.0000 0.0000
0.0000 2.5043 2.4388
2.5043 0.0000 2.4388
2.5043 2.5043 0.0000
2.5043 2.5043 2.4388
```

Calculated values
Space-group type: P4/mmm (123)
Formation energy from the elements: -0.316 eV/atom



# Be2ZnGe

Crystalline Be2ZnGe at its relaxed geometry (GGA-PBE, Alexandria via LeMat-Bulk).

Geometry as POSCAR:
```
Be2ZnGe
1.0
0.0000 2.9540 2.9540
2.9540 0.0000 2.9540
2.9540 2.9540 0.0000
Be Zn Ge
2 1 1
Cartesian
1.4770 1.4770 1.4770
4.4310 4.4310 4.4310
0.0000 0.0000 0.0000
2.9540 2.9540 2.9540
```

Calculated values
Space-group type: Fm-3m (225)
Formation energy from the elements: 0.491 eV/atom
Offset from the most stable computed form: 94 meV per atom



# SnBiCl2

Crystalline SnBiCl2 at its relaxed geometry (GGA-PBE, Alexandria via LeMat-Bulk).

Geometry as POSCAR:
```
SnBiCl2
1.0
1.7761 1.0254 10.1877
-1.7761 1.0254 10.1877
0.0000 -2.0508 10.1877
Sn Bi Cl
1 1 2
Cartesian
0.0000 0.0000 0.0000
0.0000 0.0000 15.2816
0.0000 0.0000 12.5678
0.0000 0.0000 17.9953
```

Calculated values
Space-group type: R-3m (166)
Formation energy (no corrections): -45 kJ per mole of atoms
Offset from the most stable computed form: 0 meV per atom



# Ho2TlNi

Crystalline Ho2TlNi at its relaxed geometry (GGA-PBE, Alexandria via LeMat-Bulk).

Geometry as POSCAR:
```
Ho2TlNi
1.0
0.0000 3.5986 3.5986
3.5986 0.0000 3.5986
3.5986 3.5986 0.0000
Ho Tl Ni
2 1 1
Cartesian
1.7993 1.7993 1.7993
5.3979 5.3979 5.3979
0.0000 0.0000 0.0000
3.5986 3.5986 3.5986
```

Calculated values
Space-group type: Fm-3m (225)
Formation energy from the elements: -0.257 eV/atom
Offset from the most stable computed form: 113 meV per atom